Record 1
Material: Pr5Nd3Y2
Method: DFT, PBE-GGA
State: relaxed

Cell: 5.5940 6.5425 13.4563 Å, 114.14 78.00 64.69°
With the nearest neighbours (Å) after each atom.
Element x y z (fractional)
Pr 0.1252 0.1952 0.5544  5 Pr 3.39-3.61, 1 Y 3.49, 3 Nd 3.61-3.76
Pr 0.8748 0.8048 0.4456  5 Pr 3.39-3.61, 1 Y 3.49, 3 Nd 3.61-3.76
Pr 0.4018 0.4580 0.7385  3 Pr 3.11-3.45, 1 Nd 3.29
Pr 0.5982 0.5420 0.2615  3 Pr 3.11-3.45, 1 Nd 3.29
Pr 0.0000 0.0000 0.0000  2 Pr 3.11
Nd 0.8391 0.4272 0.8946  4 Pr 3.50-3.87, 2 Nd 3.68, 3 Y 3.80-3.92
Nd 0.5000 0.5000 0.5000  6 Pr 3.29-3.61
Nd 0.1609 0.5728 0.1054  4 Pr 3.50-3.87, 2 Nd 3.68, 3 Y 3.80-3.92
Y 0.6629 0.9017 0.7725  6 Pr 3.49-3.89, 2 Nd 3.80
Y 0.3371 0.0983 0.2275  6 Pr 3.49-3.89, 2 Nd 3.80

DFT total energy	-49.5	eV/f.u.
energy of formation	0.16	eV per atom
crystal system	monoclinic
energy relative to the lowest polymorph listed for this composition	0	meV per atom
space-group type	C2/m, No. 12


Record 2
Material: CsTl2PdPb
Method: DFT, PBE-GGA
State: relaxed

Cell: 5.5529 5.5529 5.6021 Å, 90.00 90.00 90.00°
With the nearest neighbours (Å) after each atom.
Element x y z (fractional)
Pd 0.0000 0.0000 0.0000  4 Tl 2.78, 2 Pb 2.80
Tl 0.5000 0.0000 0.0000  2 Pd 2.78
Tl 0.0000 0.5000 0.0000  2 Pd 2.78
Cs 0.5000 0.5000 0.5000  4 Pb 3.93, 8 Tl 3.94
Pb 0.0000 0.0000 0.5000  2 Pd 2.80

DFT total energy	-14.6	eV/f.u.
energy of formation	-0.02	eV per atom
crystal system	tetragonal
space-group type	P4/mmm, No. 123


Record 3
Material: Nd2Y6Th
Method: DFT, PBE-GGA
State: relaxed

Cell: 6.6178 9.6532 9.6532 Å, 96.24 82.53 82.53°
With the nearest neighbours (Å) after each atom.
Element x y z (fractional)
Y 0.9951 0.7260 0.3397  5 Y 3.31-3.61, 1 Th 3.33, 3 Nd 3.46-3.59
Y 0.2297 0.4537 0.0578  6 Y 3.42-3.61, 1 Th 3.51, 2 Nd 3.51-3.69
Y 0.4951 0.3397 0.7260  5 Y 3.31-3.61, 1 Th 3.33, 3 Nd 3.46-3.59
Y 0.0049 0.2740 0.6603  5 Y 3.31-3.61, 1 Th 3.33, 3 Nd 3.46-3.59
Y 0.7297 0.0578 0.4537  6 Y 3.42-3.61, 1 Th 3.51, 2 Nd 3.51-3.69
Y 0.7703 0.5463 0.9422  6 Y 3.42-3.61, 1 Th 3.51, 2 Nd 3.51-3.69
Y 0.5049 0.6603 0.2740  5 Y 3.31-3.61, 1 Th 3.33, 3 Nd 3.46-3.59
Y 0.3125 0.7745 0.9524  2 Th 3.34-3.68, 4 Y 3.45-3.73, 2 Nd 3.50-3.62
Y 0.6875 0.2255 0.0476  2 Th 3.34-3.68, 4 Y 3.45-3.73, 2 Nd 3.50-3.62
Y 0.2703 0.9422 0.5463  6 Y 3.42-3.61, 1 Th 3.51, 2 Nd 3.51-3.69
Y 0.1875 0.0476 0.2255  2 Th 3.34-3.68, 4 Y 3.45-3.73, 2 Nd 3.50-3.62
Y 0.8125 0.9524 0.7745  2 Th 3.34-3.68, 4 Y 3.45-3.73, 2 Nd 3.50-3.62
Th 0.2500 0.1102 0.8898  8 Y 3.33-3.68
Th 0.7500 0.8898 0.1102  8 Y 3.33-3.68
Nd 0.3737 0.3372 0.3876  3 Nd 3.39-3.61, 7 Y 3.46-3.69
Nd 0.8737 0.3876 0.3372  3 Nd 3.39-3.61, 7 Y 3.46-3.69
Nd 0.1263 0.6124 0.6628  3 Nd 3.39-3.61, 7 Y 3.46-3.69
Nd 0.6263 0.6628 0.6124  3 Nd 3.39-3.61, 7 Y 3.46-3.69

DFT total energy	-54.6	eV/f.u.
energy of formation	0.12	eV per atom
crystal system	monoclinic
energy relative to the lowest polymorph listed for this composition	58	meV per atom
space-group type	C2/c, No. 15


Record 4
Material: LiAg2HRh
Method: DFT, PBE-GGA
State: relaxed

Cell: 4.4234 4.4234 3.4820 Å, 90.00 90.00 90.00°
With the nearest neighbours (Å) after each atom.
Element x y z (fractional)
Ag 0.0000 0.5000 0.0000  2 H 2.21
Ag 0.5000 0.0000 0.0000  2 H 2.21
Rh 0.0000 0.0000 0.5000  2 H 1.74
H 0.0000 0.0000 0.0000  2 Rh 1.74
Li 0.5000 0.5000 0.5000  8 Ag 2.81, 4 Rh 3.13

DFT total energy	-18.6	eV/f.u.
crystal system	tetragonal
space-group type	P4/mmm, No. 123


Record 5
Material: PrNi12B4
Method: DFT, PBE-GGA
State: relaxed

Cell: 6.3294 6.3294 6.3294 Å, 109.47 109.47 109.47°
With the nearest neighbours (Å) after each atom.
Element x y z (fractional)
Ni 0.3355 0.5246 0.1891  2 B 1.98
Ni 0.8109 0.3355 0.1464  2 B 1.98
Ni 0.6645 0.8536 0.1891  2 B 1.98
Ni 0.1464 0.8109 0.3355  2 B 1.98
Ni 0.6645 0.4754 0.8109  2 B 1.98
Ni 0.1891 0.3355 0.5246  2 B 1.98
Ni 0.8536 0.1891 0.6645  2 B 1.98
Ni 0.5246 0.1891 0.3355  2 B 1.98
Ni 0.3355 0.1464 0.8109  2 B 1.98
Ni 0.1891 0.6645 0.8536  2 B 1.98
Ni 0.4754 0.8109 0.6645  2 B 1.98
Ni 0.8109 0.6645 0.4754  2 B 1.98
Pr 0.0000 0.0000 0.0000  12 Ni 2.81
B 0.5000 0.0000 0.0000  6 Ni 1.98
B 0.0000 0.5000 0.0000  6 Ni 1.98
B 0.0000 0.0000 0.5000  6 Ni 1.98
B 0.5000 0.5000 0.5000  6 Ni 1.98

DFT total energy	-102.1	eV/f.u.
energy of formation	-0.07	eV per atom
crystal system	cubic
space-group type	Im-3, No. 204


Record 6
Material: SrPm2Rh2
Method: DFT, PBE-GGA
State: relaxed

Cell: 3.9437 8.3971 9.5511 Å, 99.85 78.09 76.42°
With the nearest neighbours (Å) after each atom.
Element x y z (fractional)
Rh 0.3589 0.6506 0.6316  5 Pm 2.90-3.15, 1 Rh 3.05, 2 Sr 3.13
Rh 0.6411 0.3494 0.3684  5 Pm 2.90-3.15, 1 Rh 3.05, 2 Sr 3.13
Rh 0.5850 0.6699 0.1601  5 Pm 2.80-2.86, 1 Sr 3.01
Rh 0.4150 0.3301 0.8399  5 Pm 2.80-2.86, 1 Sr 3.01
Sr 0.3349 0.0448 0.2855  3 Rh 3.01-3.13
Sr 0.6651 0.9552 0.7145  3 Rh 3.01-3.13
Pm 0.9859 0.3910 0.6372  6 Rh 2.86-3.15
Pm 0.0141 0.6090 0.3628  6 Rh 2.86-3.15
Pm 0.8174 0.3157 0.0495  4 Rh 2.80-2.93
Pm 0.1826 0.6843 0.9505  4 Rh 2.80-2.93

DFT total energy	-28.3	eV/f.u.
energy of formation	-0.48	eV per atom
crystal system	monoclinic
energy relative to the lowest polymorph listed for this composition	0	meV per atom
space-group type	C2/m, No. 12


Record 7
Material: LiTc3
Method: DFT, PBE-GGA
State: relaxed

Cell: 3.8102 3.8102 3.8102 Å, 90.00 90.00 90.00°
With the nearest neighbours (Å) after each atom.
Element x y z (fractional)
Tc 0.5000 0.5000 0.0000  4 Li 2.69, 8 Tc 2.69
Tc 0.5000 0.0000 0.5000  4 Li 2.69, 8 Tc 2.69
Tc 0.0000 0.5000 0.5000  4 Li 2.69, 8 Tc 2.69
Li 0.0000 0.0000 0.0000  12 Tc 2.69

DFT total energy	-31.6	eV/f.u.
energy of formation	0.36	eV per atom
crystal system	cubic
energy relative to the lowest polymorph listed for this composition	211	meV per atom
space-group type	Pm-3m, No. 221


Record 8
Material: Y2ScW
Method: DFT, PBE-GGA
State: relaxed

Cell: 5.5540 5.5540 5.7883 Å, 80.26 80.26 33.22°
With the nearest neighbours (Å) after each atom.
Element x y z (fractional)
W 0.2500 0.2500 0.2500  6 Y 3.07-3.35, 2 W 3.18, 4 Sc 3.30
Y 0.9845 0.9845 0.0132  3 W 3.07-3.35, 3 Sc 3.15-3.36, 6 Y 3.18-3.40
Y 0.5155 0.5155 0.4868  3 W 3.07-3.35, 3 Sc 3.15-3.36, 6 Y 3.18-3.40
Sc 0.7500 0.7500 0.7500  6 Y 3.15-3.36, 2 Sc 3.18, 4 W 3.30

DFT total energy	-30.2	eV/f.u.
energy of formation	0.49	eV per atom
crystal system	monoclinic
energy relative to the lowest polymorph listed for this composition	193	meV per atom
space-group type	C2/m, No. 12


Record 9
Material: KIn2B2O6
Method: DFT, PBE-GGA
State: relaxed

Cell: 5.6988 5.3916 6.3378 Å, 112.46 92.13 61.81°
With the nearest neighbours (Å) after each atom.
Element x y z (fractional)
O 0.4386 0.7096 0.7677  1 B 1.36
O 0.5614 0.2904 0.2323  1 B 1.36
O 0.8600 0.4562 0.1444  1 B 1.42
O 0.1400 0.5438 0.8556  1 B 1.42
O 0.0096 0.8583 0.6382  1 B 1.41
O 0.9904 0.1417 0.3618  1 B 1.41
In 0.8414 0.3815 0.7698  5 O 2.14-2.38
In 0.1586 0.6185 0.2302  5 O 2.14-2.38
B 0.7998 0.2930 0.2431  3 O 1.36-1.42
B 0.2002 0.7070 0.7569  3 O 1.36-1.42
K 0.5000 0.0000 0.5000  6 O 2.74-2.84

DFT total energy	-69.6	eV/f.u.
formation energy without anion corrections	-1.81	eV per atom
crystal system	triclinic
space-group type	P-1, No. 2


Record 10
Material: RbMg3Cl7
Method: DFT, PBE-GGA
State: relaxed

Cell: 7.1036 6.5126 7.1036 Å, 95.52 76.07 95.52°
With the nearest neighbours (Å) after each atom.
Element x y z (fractional)
Cl 0.0798 0.2854 0.6806  2 Mg 2.42-2.52
Cl 0.6806 0.2854 0.0798  2 Mg 2.42-2.52
Cl 0.9202 0.7146 0.3194  2 Mg 2.42-2.52
Cl 0.5000 0.0000 0.5000  2 Mg 2.62
Cl 0.1298 0.1998 0.1298  3 Mg 2.53-2.57
Cl 0.3194 0.7146 0.9202  2 Mg 2.42-2.52
Cl 0.8702 0.8002 0.8702  3 Mg 2.53-2.57
Mg 0.2005 0.0000 0.7995  5 Cl 2.42-2.62
Mg 0.0000 0.5000 0.0000  6 Cl 2.52-2.57
Mg 0.7995 0.0000 0.2005  5 Cl 2.42-2.62
Rb 0.5000 0.5000 0.5000  6 Cl 3.19-3.26

DFT total energy	-38.6	eV/f.u.
formation energy without anion corrections	-1.81	eV per atom
crystal system	monoclinic
space-group type	C2/m, No. 12


Record 11
Material: Fe4RuSe
Method: DFT, PBE-GGA
State: relaxed

Cell: 4.8673 4.8673 4.8673 Å, 60.00 60.00 60.00°
With the nearest neighbours (Å) after each atom.
Element x y z (fractional)
Fe 0.3755 0.3755 0.3755  6 Fe 2.42-2.44
Fe 0.8735 0.3755 0.3755  6 Fe 2.42-2.44
Fe 0.3755 0.8735 0.3755  6 Fe 2.42-2.44
Fe 0.3755 0.3755 0.8735  6 Fe 2.42-2.44
Se 0.0000 0.0000 0.0000  12 Fe 2.85, 4 Ru 2.98
Ru 0.7500 0.7500 0.7500  12 Fe 2.85, 4 Se 2.98

DFT total energy	-44.2	eV/f.u.
formation energy without anion corrections	0.40	eV per atom
crystal system	cubic
space-group type	F-43m, No. 216


Record 12
Material: Li2Tm2Au3
Method: DFT, PBE-GGA
State: relaxed

Cell: 3.5275 3.4361 11.8404 Å, 90.00 81.43 90.00°
With the nearest neighbours (Å) after each atom.
Element x y z (fractional)
Li 0.2918 0.5000 0.4165  2 Li 2.63, 4 Au 2.79
Li 0.7082 0.5000 0.5835  2 Li 2.63, 4 Au 2.79
Au 0.8474 0.0000 0.3051  4 Li 2.79, 4 Tm 3.02
Au 0.0000 0.0000 0.0000  8 Tm 3.07, 2 Au 3.44
Au 0.1526 0.0000 0.6949  4 Li 2.79, 4 Tm 3.02
Tm 0.4218 0.5000 0.1564  8 Au 3.02-3.07, 1 Li 3.05
Tm 0.5782 0.5000 0.8436  8 Au 3.02-3.07, 1 Li 3.05

DFT total energy	-27.1	eV/f.u.
energy of formation	-0.65	eV per atom
crystal system	orthorhombic
space-group type	Cmmm, No. 65


| no. | DOS at the Fermi energy (states/eV/cell) | V (Å³ per cell) | magnetization (Bohr magnetons per cell) |
| --- | --- | --- | --- |
| 1 | 14.8 | 359.9 | 0.00 |
| 2 | 5.6 | 172.7 | 0.00 |
| 3 | 25.4 | 601.3 | 0.00 |
| 4 | 1.5 | 68.1 | 0.00 |
| 5 | 5.0 | 195.2 | 0.00 |
| 6 | 4.6 | 292.7 | 0.00 |
| 7 | 5.2 | 55.3 | 0.00 |
| 8 | 5.4 | 96.3 | 0.00 |
| 9 | 2.0 | 156.2 | 0.00 |
| 10 | 0.0 | 316.6 | 0.00 |
| 11 | 7.6 | 81.5 | 12.03 |
| 12 | 2.4 | 141.9 | 0.00 |